# Pm2NdSbN4, relaxed, DFT PBE-GGA
data_Pm2NdSbN4
_space_group_name_H-M_alt 'C m c m'
_space_group_IT_number 63
_space_group_name_Hall '-C 2c 2'
_cell_length_a 3.6860
_cell_length_b 12.0391
_cell_length_c 12.3018
_cell_angle_alpha 90.00
_cell_angle_beta 90.00
_cell_angle_gamma 90.00
loop_
_atom_site_label
_atom_site_fract_x
_atom_site_fract_y
_atom_site_fract_z
Pm1 0.0000 0.1290 0.0365
Nd1 0.0000 0.3871 0.2500
Sb1 0.0000 0.3493 0.7500
N1 0.0000 0.0582 0.2500
N2 0.0000 0.2241 0.6315
N3 0.0000 0.5000 0.0000
# Formation energy (no corrections)   -646 meV/atom
# Magnetic moment   0.0000 μB/atom
# Crystal system   orthorhombic


# Pm4Nd2Sb3N2, relaxed, DFT PBE-GGA
data_Pm4Nd2Sb3N2
_space_group_name_H-M_alt 'I 4/m m m'
_space_group_IT_number 139
_space_group_name_Hall '-I 4 2'
_cell_length_a 4.7870
_cell_length_b 4.7870
_cell_length_c 25.9917
_cell_angle_alpha 90.00
_cell_angle_beta 90.00
_cell_angle_gamma 90.00
loop_
_atom_site_label
_atom_site_fract_x
_atom_site_fract_y
_atom_site_fract_z
Pm1 0.0000 0.5000 0.0827
Nd1 0.0000 0.0000 0.1931
Sb1 0.0000 0.0000 0.3220
Sb2 0.0000 0.0000 0.5000
N1 0.0000 0.0000 0.1032
# Formation energy (no corrections)   -1157 meV/atom
# Magnetic moment   0.0000 μB/atom
# Crystal system   tetragonal


# PmNdSeN, relaxed, DFT PBE-GGA
data_PmNdSeN
_space_group_name_H-M_alt 'R 3 m'
_space_group_IT_number 160
_space_group_name_Hall 'R 3 -2"'
_cell_length_a 3.8112
_cell_length_b 3.8112
_cell_length_c 20.3071
_cell_angle_alpha 90.00
_cell_angle_beta 90.00
_cell_angle_gamma 120.00
loop_
_atom_site_label
_atom_site_fract_x
_atom_site_fract_y
_atom_site_fract_z
Pm1 0.0000 0.0000 0.0000
Nd1 0.0000 0.0000 0.4676
Se1 0.0000 0.0000 0.2346
N1 0.0000 0.0000 0.7324
# Formation energy (no corrections)   -1623 meV/atom
# Magnetic moment   0.0000 μB/atom
# Crystal system   trigonal


# PmNd2SiN4, relaxed, DFT PBE-GGA
data_PmNd2SiN4
_space_group_name_H-M_alt 'C m c m'
_space_group_IT_number 63
_space_group_name_Hall '-C 2c 2'
_cell_length_a 3.4685
_cell_length_b 11.7097
_cell_length_c 12.1349
_cell_angle_alpha 90.00
_cell_angle_beta 90.00
_cell_angle_gamma 90.00
loop_
_atom_site_label
_atom_site_fract_x
_atom_site_fract_y
_atom_site_fract_z
Pm1 0.0000 0.0943 0.2500
Nd1 0.0000 0.3671 0.0433
Si1 0.0000 0.1809 0.7500
N1 0.0000 0.0000 0.0000
N2 0.0000 0.2749 0.6385
N3 0.0000 0.4037 0.2500
# Formation energy (no corrections)   -1109 meV/atom
# Magnetic moment   0.0000 μB/atom
# Crystal system   orthorhombic


# Pm2NdSmN4, relaxed, DFT PBE-GGA
data_Pm2NdSmN4
_space_group_name_H-M_alt 'P 1 2/m 1'
_space_group_IT_number 10
_cell_length_a 6.2631
_cell_length_b 3.6190
_cell_length_c 6.2637
_cell_angle_alpha 90.00
_cell_angle_beta 109.42
_cell_angle_gamma 90.00
loop_
_space_group_symop_operation_xyz
'x,y,z'
'-x,-y,-z'
'-x,y,-z'
'x,-y,z'
loop_
_atom_site_label
_atom_site_fract_x
_atom_site_fract_y
_atom_site_fract_z
Pm1 0.0000 0.0000 0.0000
Pm2 0.0000 0.5000 0.5000
Nd1 0.5000 0.0000 0.5000
Sm1 0.5000 0.5000 0.0000
N1 0.2489 0.5000 0.2479
N2 0.2503 0.0000 0.7519
# Formation energy (no corrections)   -1427 meV/atom
# Magnetic moment   0.0000 μB/atom
# Crystal system   monoclinic


# PmNdSmN3, relaxed, DFT PBE-GGA
data_PmNdSmN3
_space_group_name_H-M_alt 'P 1 21/m 1'
_space_group_IT_number 11
_cell_length_a 6.1924
_cell_length_b 3.4964
_cell_length_c 9.4866
_cell_angle_alpha 90.00
_cell_angle_beta 96.79
_cell_angle_gamma 90.00
loop_
_space_group_symop_operation_xyz
'x,y,z'
'-x,-y,-z'
'-x,y+1/2,-z'
'x,-y+1/2,z'
loop_
_atom_site_label
_atom_site_fract_x
_atom_site_fract_y
_atom_site_fract_z
Pm1 0.1826 0.2500 0.1265
Nd1 0.2933 0.2500 0.7741
Sm1 0.2383 0.7500 0.4474
N1 0.0223 0.7500 0.6518
N2 0.2220 0.7500 0.9714
N3 0.4737 0.2500 0.3331
# Formation energy (no corrections)   -1239 meV/atom
# Magnetic moment   0.0000 μB/atom
# Crystal system   monoclinic


# PmNd2SmN4, relaxed, DFT PBE-GGA
data_PmNd2SmN4
_space_group_name_H-M_alt 'P 1 2/m 1'
_space_group_IT_number 10
_cell_length_a 6.2795
_cell_length_b 3.6283
_cell_length_c 6.2803
_cell_angle_alpha 90.00
_cell_angle_beta 109.42
_cell_angle_gamma 90.00
loop_
_space_group_symop_operation_xyz
'x,y,z'
'-x,-y,-z'
'-x,y,-z'
'x,-y,z'
loop_
_atom_site_label
_atom_site_fract_x
_atom_site_fract_y
_atom_site_fract_z
Pm1 0.0000 0.0000 0.0000
Nd1 0.0000 0.5000 0.5000
Nd2 0.5000 0.0000 0.5000
Sm1 0.5000 0.5000 0.0000
N1 0.2497 0.5000 0.2470
N2 0.2519 0.0000 0.7534
# Formation energy (no corrections)   -1408 meV/atom
# Magnetic moment   0.0000 μB/atom
# Crystal system   monoclinic


# PmNd12Sn4N3, relaxed, DFT PBE-GGA
data_PmNd12Sn4N3
_space_group_name_H-M_alt 'I m -3 m'
_space_group_IT_number 229
_space_group_name_Hall '-I 4 2 3'
_cell_length_a 10.2481
_cell_length_b 10.2481
_cell_length_c 10.2481
_cell_angle_alpha 90.00
_cell_angle_beta 90.00
_cell_angle_gamma 90.00
loop_
_atom_site_label
_atom_site_fract_x
_atom_site_fract_y
_atom_site_fract_z
Pm1 0.0000 0.0000 0.0000
Nd1 0.0000 0.0000 0.2736
Nd2 0.0000 0.2500 0.5000
Sn1 0.2500 0.2500 0.2500
N1 0.0000 0.0000 0.5000
# Formation energy (no corrections)   -522 meV/atom
# Magnetic moment   0.0000 μB/atom
# Crystal system   cubic